No. 1
The following is a DFT calculation (PBE) of Pm2Er2Sb2C after structural relaxation.

Calculated values
The uncorrected formation energy comes out at -0.850 eV/atom.

Cell: 8.7770 8.7770 8.7770 Å, 148.63 148.63 44.96°
Atoms (fractional coordinates):
Pm: 0.1624 0.1624 0.0000
Pm: 0.8376 0.8376 0.0000
Er: 0.0000 0.5000 0.5000
Er: 0.5000 0.0000 0.5000
Sb: 0.3629 0.3629 0.0000
Sb: 0.6371 0.6371 0.0000
C: 0.0000 0.0000 0.0000



No. 2
The following is a DFT calculation (PBE) of TiFeRh after structural relaxation.

Calculated values
The formation energy is -0.375 eV per atom.

Cell: 4.9896 4.9896 4.9896 Å, 144.32 144.32 51.35°
Atoms (fractional coordinates):
Ti: 0.0000 0.0000 0.0000
Fe: 0.3411 0.3411 0.0000
Rh: 0.6682 0.6682 0.0000



No. 3
The following is a DFT calculation (PBE) of Ti12Sn6Ge after structural relaxation.

Calculated values
The formation energy is -0.162 eV per atom.

Cell: 7.1055 7.1055 7.1055 Å, 92.33 92.33 92.33°
Atoms (fractional coordinates):
Ti: 0.0350 0.9452 0.2890
Ti: 0.0548 0.7110 0.9650
Ti: 0.1329 0.4453 0.3582
Ti: 0.2890 0.0350 0.9452
Ti: 0.3582 0.1329 0.4453
Ti: 0.4453 0.3582 0.1329
Ti: 0.5547 0.6418 0.8671
Ti: 0.6418 0.8671 0.5547
Ti: 0.7110 0.9650 0.0548
Ti: 0.8671 0.5547 0.6418
Ti: 0.9452 0.2890 0.0350
Ti: 0.9650 0.0548 0.7110
Sn: 0.2091 0.3813 0.7722
Sn: 0.2278 0.7909 0.6187
Sn: 0.3813 0.7722 0.2091
Sn: 0.6187 0.2278 0.7909
Sn: 0.7722 0.2091 0.3813
Sn: 0.7909 0.6187 0.2278
Ge: 0.5000 0.5000 0.5000



No. 4
The following is a DFT calculation (PBE) of YMg2Pb after structural relaxation.

Calculated values
The formation energy is -0.122 eV per atom.

Cell: 3.5368 4.5654 6.5637 Å, 90.00 90.00 90.00°
Atoms (fractional coordinates):
Y: 0.0000 0.0000 0.0000
Mg: 0.5000 0.5000 0.2517
Mg: 0.5000 0.5000 0.7483
Pb: 0.0000 0.0000 0.5000



No. 5
The following is a DFT calculation (PBE) of NaLiHg2I6 after structural relaxation.

Calculated values
The uncorrected formation energy comes out at -0.639 eV/atom.

Cell: 8.8034 8.8034 8.8034 Å, 52.37 52.37 52.37°
Atoms (fractional coordinates):
Na: 0.0000 0.0000 0.0000
Li: 0.5001 0.5001 0.5001
Hg: 0.2451 0.2451 0.2451
Hg: 0.7541 0.7541 0.7541
I: 0.1168 0.7366 0.4044
I: 0.2621 0.5952 0.8831
I: 0.4044 0.1168 0.7366
I: 0.5952 0.8831 0.2621
I: 0.7366 0.4044 0.1168
I: 0.8831 0.2621 0.5952



No. 6
The following is a DFT calculation (PBE) of TbSi2Tc after structural relaxation.

Calculated values
The uncorrected formation energy comes out at -0.469 eV/atom. As for the energy above the lowest structure with this stoichiometry: 232 meV/atom.

Cell: 3.1308 3.1308 6.8468 Å, 90.00 90.00 90.00°
Atoms (fractional coordinates):
Tb: 0.0000 0.0000 0.0000
Si: 0.5000 0.5000 0.3078
Si: 0.5000 0.5000 0.6922
Tc: 0.0000 0.0000 0.5000



No. 7
The following is a DFT calculation (PBE) of Co8Ni5Ir after structural relaxation.

Calculated values
As for the energy above the lowest structure with this stoichiometry: 0 meV/atom. The formation energy is 0.161 eV per atom.

Cell: 5.9574 6.0537 6.0813 Å, 116.57 92.20 117.61°
Atoms (fractional coordinates):
Co: 0.0000 0.0000 0.0000
Co: 0.0623 0.1791 0.6709
Co: 0.2112 0.7222 0.9050
Co: 0.3500 0.5116 0.1104
Co: 0.4798 0.2884 0.2805
Co: 0.6733 0.9846 0.2122
Co: 0.7539 0.3233 0.6400
Co: 0.9196 0.6949 0.5451
Ni: 0.1462 0.4285 0.4408
Ni: 0.2520 0.9058 0.3633
Ni: 0.3962 0.1145 0.8189
Ni: 0.5263 0.5579 0.7654
Ni: 0.5985 0.8421 0.5667
Ir: 0.8693 0.3728 0.0662



No. 8
The following is a DFT calculation (PBE) of LaNdEu after structural relaxation.

Calculated values
As for the energy above the lowest structure with this stoichiometry: 2 meV/atom. The formation energy is 0.028 eV per atom.

Cell: 3.7551 3.7551 9.2524 Å, 90.00 90.00 120.00°
Atoms (fractional coordinates):
La: 0.0000 0.0000 0.0000
Nd: 0.3333 0.6667 0.6821
Eu: 0.6667 0.3333 0.3445



No. 9
The following is a DFT calculation (PBE) of ZnRe3Cl after structural relaxation.

Calculated values
The uncorrected formation energy comes out at 1.743 eV/atom. As for the energy above the lowest structure with this stoichiometry: 0 meV/atom.

Cell: 4.3493 4.3493 4.3493 Å, 90.00 90.00 90.00°
Atoms (fractional coordinates):
Zn: 0.0000 0.0000 0.0000
Re: 0.0000 0.5000 0.5000
Re: 0.5000 0.0000 0.5000
Re: 0.5000 0.5000 0.0000
Cl: 0.5000 0.5000 0.5000



No. 10
The following is a DFT calculation (PBE) of Rb3AgW after structural relaxation.

Calculated values
As for the energy above the lowest structure with this stoichiometry: 0 meV/atom. The formation energy is 1.396 eV per atom.

Cell: 6.6382 6.6382 6.6382 Å, 90.00 90.00 90.00°
Atoms (fractional coordinates):
Rb: 0.0000 0.0000 0.5000
Rb: 0.0000 0.5000 0.0000
Rb: 0.5000 0.0000 0.0000
Ag: 0.0000 0.0000 0.0000
W: 0.5000 0.5000 0.5000



No. 11
The following is a DFT calculation (PBE) of LiSc2P after structural relaxation.

Calculated values
The formation energy is -0.535 eV per atom.

Cell: 6.3993 6.3993 6.3993 Å, 34.71 34.71 34.71°
Atoms (fractional coordinates):
Li: 0.0000 0.0000 0.0000
Sc: 0.2287 0.2287 0.2287
Sc: 0.4245 0.4245 0.4245
P: 0.6545 0.6545 0.6545



No. 12
The following is a DFT calculation (PBE) of Li3Ag8Sn2 after structural relaxation.

Calculated values
The formation energy is -0.009 eV per atom.

Cell: 10.6244 10.6244 10.6244 Å, 29.88 29.88 29.88°
Atoms (fractional coordinates):
Li: 0.0000 0.0000 0.0000
Li: 0.1832 0.1832 0.1832
Li: 0.8168 0.8168 0.8168
Ag: 0.2230 0.7249 0.7249
Ag: 0.2691 0.2691 0.2691
Ag: 0.2751 0.2751 0.7770
Ag: 0.2751 0.7770 0.2751
Ag: 0.7249 0.2230 0.7249
Ag: 0.7249 0.7249 0.2230
Ag: 0.7309 0.7309 0.7309
Ag: 0.7770 0.2751 0.2751
Sn: 0.3602 0.3602 0.3602
Sn: 0.6398 0.6398 0.6398



No. 13
The following is a DFT calculation (PBE) of Ce6Al2Tc after structural relaxation.

Calculated values
The formation energy is -0.151 eV per atom.

Cell: 8.6282 8.6282 3.3622 Å, 90.00 90.00 120.00°
Atoms (fractional coordinates):
Ce: 0.0000 0.4057 0.0000
Ce: 0.0000 0.7363 0.5000
Ce: 0.2637 0.2637 0.5000
Ce: 0.4057 0.0000 0.0000
Ce: 0.5943 0.5943 0.0000
Ce: 0.7363 0.0000 0.5000
Al: 0.3333 0.6667 0.5000
Al: 0.6667 0.3333 0.5000
Tc: 0.0000 0.0000 0.0000



No. 14
The following is a DFT calculation (PBE) of SiIrIO2 after structural relaxation.

Calculated values
The uncorrected formation energy comes out at 0.157 eV/atom. As for the energy above the lowest structure with this stoichiometry: 424 meV/atom.

Cell: 3.8066 3.8066 8.1887 Å, 90.00 90.00 90.00°
Atoms (fractional coordinates):
Si: 0.0000 0.0000 0.0000
Ir: 0.5000 0.5000 0.5000
I: 0.5000 0.5000 0.0000
O: 0.0000 0.5000 0.5000
O: 0.5000 0.0000 0.5000



No. 15
The following is a DFT calculation (PBE) of Be2Au3 after structural relaxation.

Calculated values
As for the energy above the lowest structure with this stoichiometry: 90 meV/atom. The formation energy is -0.014 eV per atom.

Cell: 6.5491 6.5491 6.5491 Å, 49.55 49.55 49.55°
Atoms (fractional coordinates):
Be: 0.0000 0.0000 0.0000
Be: 0.1481 0.1481 0.1481
Be: 0.5000 0.5000 0.5000
Be: 0.8519 0.8519 0.8519
Au: 0.0665 0.7052 0.4537
Au: 0.2948 0.5463 0.9335
Au: 0.4537 0.0665 0.7052
Au: 0.5463 0.9335 0.2948
Au: 0.7052 0.4537 0.0665
Au: 0.9335 0.2948 0.5463



No. 16
The following is a DFT calculation (PBE) of CaCoSi2Ir after structural relaxation.

Calculated values
The uncorrected formation energy comes out at -0.773 eV/atom.

Cell: 5.7546 5.7546 5.7546 Å, 139.24 139.24 59.00°
Atoms (fractional coordinates):
Ca: 0.0000 0.0000 0.0000
Co: 0.7500 0.2500 0.5000
Si: 0.3728 0.3728 0.0000
Si: 0.6272 0.6272 0.0000
Ir: 0.2500 0.7500 0.5000



No. 17
The following is a DFT calculation (PBE) of ZrIn2Te6 after structural relaxation.

Calculated values
The uncorrected formation energy comes out at -0.365 eV/atom.

Cell: 9.2788 9.2788 7.8367 Å, 101.48 101.48 85.96°
Atoms (fractional coordinates):
Zr: 0.0869 0.9131 0.7500
Zr: 0.9131 0.0869 0.2500
In: 0.2086 0.4102 0.6844
In: 0.4102 0.2086 0.1844
In: 0.5898 0.7914 0.8156
In: 0.7914 0.5898 0.3156
Te: 0.0065 0.8012 0.3626
Te: 0.0149 0.6374 0.8131
Te: 0.1988 0.9935 0.1374
Te: 0.3433 0.4835 0.4090
Te: 0.3626 0.9851 0.6869
Te: 0.4835 0.3433 0.9090
Te: 0.5165 0.6567 0.0910
Te: 0.6374 0.0149 0.3131
Te: 0.6567 0.5165 0.5910
Te: 0.8012 0.0065 0.8626
Te: 0.9851 0.3626 0.1869
Te: 0.9935 0.1988 0.6374



No. 18
The following is a DFT calculation (PBE) of Er4Tm3Mg after structural relaxation.

Calculated values
As for the energy above the lowest structure with this stoichiometry: 0 meV/atom. The formation energy is 0.243 eV per atom.

Cell: 12.7439 12.7439 5.7777 Å, 95.54 95.54 15.11°
Atoms (fractional coordinates):
Er: 0.1020 0.1020 0.1959
Er: 0.2820 0.2820 0.7627
Er: 0.7180 0.7180 0.2373
Er: 0.8980 0.8980 0.8041
Tm: 0.0000 0.0000 0.5000
Tm: 0.1506 0.1506 0.7142
Tm: 0.8494 0.8494 0.2858
Mg: 0.5000 0.5000 0.0000



No. 19
The following is a DFT calculation (PBE) of CaAc2TlRh after structural relaxation.

Calculated values
The formation energy is -0.372 eV per atom.

Cell: 5.7225 5.7225 5.5241 Å, 90.00 90.00 90.00°
Atoms (fractional coordinates):
Ca: 0.0000 0.0000 0.0000
Ac: 0.0000 0.5000 0.5004
Ac: 0.5000 0.0000 0.5004
Tl: 0.5000 0.5000 0.0013
Rh: 0.0000 0.0000 0.4999



No. 20
The following is a DFT calculation (PBE) of InGa4Sb after structural relaxation.

Calculated values
The uncorrected formation energy comes out at 0.085 eV/atom.

Cell: 5.7347 5.7347 5.7347 Å, 60.00 60.00 60.00°
Atoms (fractional coordinates):
In: 0.0000 0.0000 0.0000
Ga: 0.3752 0.3752 0.3752
Ga: 0.3752 0.3752 0.8745
Ga: 0.3752 0.8745 0.3752
Ga: 0.8745 0.3752 0.3752
Sb: 0.7500 0.7500 0.7500



No. 21
The following is a DFT calculation (PBE) of La2GaSe4 after structural relaxation.

Calculated values
The uncorrected formation energy comes out at -1.453 eV/atom.

Cell: 6.8390 6.8077 8.4113 Å, 90.00 107.67 90.00°
Atoms (fractional coordinates):
La: 0.2324 0.2500 0.0533
La: 0.2491 0.2500 0.5657
La: 0.7509 0.7500 0.4343
La: 0.7676 0.7500 0.9467
Ga: 0.2665 0.7500 0.3174
Ga: 0.7335 0.2500 0.6826
Se: 0.0030 0.0066 0.2554
Se: 0.0030 0.4934 0.2554
Se: 0.4109 0.7500 0.0775
Se: 0.4217 0.7500 0.6305
Se: 0.5783 0.2500 0.3695
Se: 0.5891 0.2500 0.9225
Se: 0.9970 0.5066 0.7446
Se: 0.9970 0.9934 0.7446



No. 22
The following is a DFT calculation (PBE) of KTi3Ir after structural relaxation.

Calculated values
As for the energy above the lowest structure with this stoichiometry: 1401 meV/atom. The formation energy is 1.857 eV per atom.

Cell: 4.3889 4.3889 4.3889 Å, 90.00 90.00 90.00°
Atoms (fractional coordinates):
K: 0.0000 0.0000 0.0000
Ti: 0.0000 0.0000 0.5000
Ti: 0.0000 0.5000 0.0000
Ti: 0.5000 0.0000 0.0000
Ir: 0.5000 0.5000 0.5000



No. 23
The following is a DFT calculation (PBE) of MnCd2Re after structural relaxation.

Calculated values
As for the energy above the lowest structure with this stoichiometry: 301 meV/atom. The formation energy is 0.542 eV per atom.

Cell: 2.7756 2.7756 9.5164 Å, 90.00 90.00 109.05°
Atoms (fractional coordinates):
Mn: 0.0000 0.0000 0.0000
Cd: 0.5000 0.5000 0.2461
Cd: 0.5000 0.5000 0.7539
Re: 0.0000 0.0000 0.5000



No. 24
The following is a DFT calculation (PBE) of MgVRh after structural relaxation.

Calculated values
As for the energy above the lowest structure with this stoichiometry: 0 meV/atom. The formation energy is -0.356 eV per atom.

Cell: 11.5380 11.5380 11.5380 Å, 165.20 165.20 20.99°
Atoms (fractional coordinates):
Mg: 0.0713 0.0713 0.0000
Mg: 0.9287 0.9287 0.0000
V: 0.2150 0.2150 0.0000
V: 0.7850 0.7850 0.0000
Rh: 0.3489 0.3489 0.0000
Rh: 0.6511 0.6511 0.0000



No. 25
The following is a DFT calculation (PBE) of NaAcInTe3 after structural relaxation.

Calculated values
The uncorrected formation energy comes out at -0.913 eV/atom.

Cell: 9.1467 4.7497 12.7733 Å, 90.00 103.15 90.00°
Atoms (fractional coordinates):
Na: 0.1637 0.2500 0.1209
Na: 0.8363 0.7500 0.8791
Ac: 0.3363 0.7500 0.8589
Ac: 0.6637 0.2500 0.1411
In: 0.0449 0.2500 0.6150
In: 0.9551 0.7500 0.3850
Te: 0.0736 0.2500 0.8538
Te: 0.2327 0.7500 0.5856
Te: 0.4074 0.7500 0.1277
Te: 0.5926 0.2500 0.8723
Te: 0.7673 0.2500 0.4144
Te: 0.9264 0.7500 0.1462